# PBE-GGA BeAsF2, relaxed
data_BeAsF2
_chemical_formula_sum 'Be1 As1 F2'
_cell_length_a 4.151
_cell_length_b 4.151
_cell_length_c 4.151
_cell_angle_alpha 60.00
_cell_angle_beta 60.00
_cell_angle_gamma 60.00
_space_group_name_H-M_alt 'P 1'
_space_group_IT_number 1
loop_
_space_group_symop_operation_xyz
'x,y,z'
loop_
_atom_site_label
_atom_site_type_symbol
_atom_site_fract_x
_atom_site_fract_y
_atom_site_fract_z
Be1 Be 0.000 0.000 0.000
As1 As 0.500 0.500 0.500
F1 F 0.250 0.250 0.250
F2 F 0.750 0.750 0.750
# Total DFT energy (no corrections) = -13.037 eV/cell
# ΔE to the lowest computed polymorph = 1612 meV per atom

=====

# PBE-GGA BeAsF3, relaxed
data_BeAsF3
_chemical_formula_sum 'Be1 As1 F3'
_cell_length_a 4.261
_cell_length_b 4.261
_cell_length_c 4.261
_cell_angle_alpha 90.00
_cell_angle_beta 90.00
_cell_angle_gamma 90.00
_space_group_name_H-M_alt 'P 1'
_space_group_IT_number 1
loop_
_space_group_symop_operation_xyz
'x,y,z'
loop_
_atom_site_label
_atom_site_type_symbol
_atom_site_fract_x
_atom_site_fract_y
_atom_site_fract_z
Be1 Be 0.500 0.500 0.500
As1 As 0.000 0.000 0.000
F1 F 0.000 0.500 0.000
F2 F 0.000 0.000 0.500
F3 F 0.500 0.000 0.000
# Total DFT energy (no corrections) = -17.671 eV/cell
# ΔE to the lowest computed polymorph = 744 meV per atom

=====

# PBE-GGA Be3AsF, relaxed
data_Be3AsF
_chemical_formula_sum 'Be3 As1 F1'
_cell_length_a 3.881
_cell_length_b 3.881
_cell_length_c 3.881
_cell_angle_alpha 90.00
_cell_angle_beta 90.00
_cell_angle_gamma 90.00
_space_group_name_H-M_alt 'P 1'
_space_group_IT_number 1
loop_
_space_group_symop_operation_xyz
'x,y,z'
loop_
_atom_site_label
_atom_site_type_symbol
_atom_site_fract_x
_atom_site_fract_y
_atom_site_fract_z
Be1 Be 0.000 0.500 0.000
Be2 Be 0.000 0.000 0.500
Be3 Be 0.500 0.000 0.000
As1 As 0.500 0.500 0.500
F1 F 0.000 0.000 0.000
# Total DFT energy (no corrections) = -16.648 eV/cell
# ΔE to the lowest computed polymorph = 0 meV per atom

=====

# PBE-GGA BeAs2F, relaxed
data_BeAs2F
_chemical_formula_sum 'Be2 As4 F2'
_cell_length_a 3.875
_cell_length_b 3.875
_cell_length_c 8.950
_cell_angle_alpha 77.50
_cell_angle_beta 77.50
_cell_angle_gamma 90.00
_space_group_name_H-M_alt 'P 1'
_space_group_IT_number 1
loop_
_space_group_symop_operation_xyz
'x,y,z'
loop_
_atom_site_label
_atom_site_type_symbol
_atom_site_fract_x
_atom_site_fract_y
_atom_site_fract_z
Be1 Be 0.500 0.500 0.000
Be2 Be 0.250 0.750 0.500
As1 As 0.586 0.125 0.250
As2 As 0.164 0.625 0.250
As3 As 0.375 0.414 0.750
As4 As 0.875 0.836 0.750
F1 F 0.000 0.000 0.000
F2 F 0.750 0.250 0.500
# Total DFT energy (no corrections) = -30.768 eV/cell
# ΔE to the lowest computed polymorph = 50 meV per atom

=====

- Look up the ΔE to the lowest computed polymorph of the second one.
  744 meV per atom

=====

- The lowest ΔE to the lowest computed polymorph belongs to which entry?
  Be3AsF

=====

What did the second record say?
# PBE-GGA BeAsF3, relaxed
data_BeAsF3
_chemical_formula_sum 'Be1 As1 F3'
_cell_length_a 4.261
_cell_length_b 4.261
_cell_length_c 4.261
_cell_angle_alpha 90.00
_cell_angle_beta 90.00
_cell_angle_gamma 90.00
_space_group_name_H-M_alt 'P 1'
_space_group_IT_number 1
loop_
_space_group_symop_operation_xyz
'x,y,z'
loop_
_atom_site_label
_atom_site_type_symbol
_atom_site_fract_x
_atom_site_fract_y
_atom_site_fract_z
Be1 Be 0.500 0.500 0.500
As1 As 0.000 0.000 0.000
F1 F 0.000 0.500 0.000
F2 F 0.000 0.000 0.500
F3 F 0.500 0.000 0.000
# Total DFT energy (no corrections) = -17.671 eV/cell
# ΔE to the lowest computed polymorph = 744 meV per atom